DFT (GGA-PBE) results for a geometry-optimized PC2Cl2 structure.

Properties
- E_form (uncorrected): 177.8 kJ/mol of atoms
- Magnetization: 0.00 μB per cell
- D(E_F): 0.5399 states/eV per atom
- Polymorph energy (0 for the lowest one): 0.87 eV/f.u.

CIF file:
```
data_PC2Cl2
_chemical_formula_sum 'P2 C4 Cl4'
_cell_length_a 5.617
_cell_length_b 5.617
_cell_length_c 4.388
_cell_angle_alpha 90.00
_cell_angle_beta 90.00
_cell_angle_gamma 90.00
_space_group_name_H-M_alt 'P 4/m b m'
_space_group_IT_number 127
_space_group_name_Hall '-P 4 2ab'
loop_
_atom_site_label
_atom_site_type_symbol
_atom_site_fract_x
_atom_site_fract_y
_atom_site_fract_z
_atom_site_occupancy
P1 P 0.000 0.000 0.000 1
C1 C 0.218 0.282 0.000 1
Cl1 Cl 0.188 0.312 0.500 1
```